[1]
# BeTe2WF (GGA+U, optimized geometry)
# Uncorrected energy ... -0.138 Ha/atom
# ρ ... 6.1 g cm⁻³
data_BeTe2WF
_chemical_formula_sum 'Be1 Te2 W1 F1'
_space_group_name_H-M_alt 'P 4/m m m'
_space_group_IT_number 123
_space_group_name_Hall '-P 4 2'
_cell_length_a 5.5483
_cell_length_b 5.5483
_cell_length_c 4.1225
_cell_angle_alpha 90.00
_cell_angle_beta 90.00
_cell_angle_gamma 90.00
loop_
_atom_site_label
_atom_site_type_symbol
_atom_site_fract_x
_atom_site_fract_y
_atom_site_fract_z
Be1 Be 0.0000 0.0000 0.0000
Te1 Te 0.0000 0.5000 0.5000
W1 W 0.5000 0.5000 0.5000
F1 F 0.5000 0.5000 0.0000

[2]
# RbVS2O (GGA+U, optimized geometry)
# Uncorrected energy ... -0.186 Ha/atom
# ρ ... 3.9 g cm⁻³
data_RbVS2O
_chemical_formula_sum 'Rb1 V1 S2 O1'
_space_group_name_H-M_alt 'P 4/m m m'
_space_group_IT_number 123
_space_group_name_Hall '-P 4 2'
_cell_length_a 4.9209
_cell_length_b 4.9209
_cell_length_c 3.7706
_cell_angle_alpha 90.00
_cell_angle_beta 90.00
_cell_angle_gamma 90.00
loop_
_atom_site_label
_atom_site_type_symbol
_atom_site_fract_x
_atom_site_fract_y
_atom_site_fract_z
Rb1 Rb 0.0000 0.0000 0.0000
V1 V 0.5000 0.5000 0.5000
S1 S 0.0000 0.5000 0.5000
O1 O 0.5000 0.5000 0.0000